First-principles (PBE) data for crystalline Tl5Hg5Sb at its relaxed geometry, as listed in Alexandria.

Properties
Its formation energy from raw total energies is 0.024 eV per atom. Its offset from the most stable computed form is 0.000 eV/atom. The value obtained for the total energy is -1.56 eV per atom.

a b c (Å): 7.0378 8.4645 7.1039
angles (deg): 55.78 75.24 78.17
Closest atoms and distances in Å follow each position.
Fractional positions:
Tl1 0.3226 0.6449 0.0456  4 Hg 3.17-3.47, 1 Sb 3.28, 2 Tl 3.31-3.34
Tl2 0.2552 0.1165 0.5011  3 Hg 3.18-3.44, 1 Sb 3.21
Tl3 0.5000 0.0000 0.0000  4 Hg 3.23-3.32, 2 Tl 3.31, 2 Sb 3.52
Tl4 0.7448 0.8835 0.4989  3 Hg 3.18-3.44, 1 Sb 3.21
Tl5 0.6774 0.3551 0.9544  4 Hg 3.17-3.47, 1 Sb 3.28, 2 Tl 3.31-3.34
Hg1 0.1501 0.3296 0.9984  3 Hg 3.16-3.36, 1 Sb 3.17, 4 Tl 3.18-3.37
Hg2 0.3594 0.6717 0.5324  3 Hg 3.16-3.36, 3 Tl 3.23-3.47
Hg3 0.0000 0.5000 0.5000  4 Tl 3.17-3.37, 4 Hg 3.28-3.36
Hg4 0.6406 0.3283 0.4676  3 Hg 3.16-3.36, 3 Tl 3.23-3.47
Hg5 0.8499 0.6704 0.0016  3 Hg 3.16-3.36, 1 Sb 3.17, 4 Tl 3.18-3.37
Sb1 0.0000 0.0000 0.0000  2 Hg 3.17, 6 Tl 3.21-3.52